The following is a DFT calculation (PBE) of a relaxed Ti2GeOs crystal.

## Properties
Formation energy = -261 meV/atom
Crystal system = trigonal
V = 16.06 A^3/atom
Total magnetic moment = 0.000 μB per atom
DOS(E_F) = 2.850 states/eV/f.u.

Cell: 3.017 3.017 8.334 Å, 79.57 79.57 60.00°
Atoms (fractional coordinates):
Ge (0.500, 0.500, 0.500)
Os (0.000, 0.000, 0.000)
Ti (0.253, 0.253, 0.241)
Ti (0.747, 0.747, 0.759)